# 1
Material: GdNi2
Method: DFT, GGA-PBE
State: optimized geometry

a b c (Å): 5.0963 5.0963 5.0963
angles (deg): 60.00 60.00 60.00
Closest atoms and distances in Å follow each position.
Positions (direct):
Gd (0.1250, 0.1250, 0.1250)  12 Ni 2.99, 4 Gd 3.12
Gd (0.8750, 0.8750, 0.8750)  12 Ni 2.99, 4 Gd 3.12
Ni (0.0000, 0.5000, 0.5000)  6 Ni 2.55
Ni (0.5000, 0.0000, 0.5000)  6 Ni 2.55
Ni (0.5000, 0.5000, 0.0000)  6 Ni 2.55
Ni (0.5000, 0.5000, 0.5000)  6 Ni 2.55

## Properties
* ΔH_f (0 K): -0.412 eV per atom
* uncorrected energy: -53.76 eV for the cell shown

=====

# 2
Material: LaAsSe2Br
Method: DFT, GGA-PBE
State: optimized geometry

a b c (Å): 5.6838 5.6838 6.2101
angles (deg): 90.00 90.00 90.00
Closest atoms and distances in Å follow each position.
Positions (direct):
La (0.0000, 0.0000, 0.0000)  4 Se 2.84, 2 As 3.11
As (0.0000, 0.0000, 0.5000)  2 La 3.11
Se (0.0000, 0.5000, 0.0000)  2 La 2.84
Se (0.5000, 0.0000, 0.0000)  2 La 2.84
Br (0.5000, 0.5000, 0.5000)  4 As 4.02, 8 Se 4.21

## Properties
* uncorrected energy: -17.79 eV for the cell shown
* uncorrected formation energy: 0.086 eV/atom
* relative energy among the computed polymorphs: 3.632 eV/f.u.

=====

# 3
Material: SrAc8Tl6
Method: DFT, GGA-PBE
State: optimized geometry

a b c (Å): 9.0509 9.0509 9.0509
angles (deg): 67.02 67.02 67.02
Closest atoms and distances in Å follow each position.
Positions (direct):
Sr (0.0000, 0.0000, 0.0000)  6 Tl 3.53
Ac (0.1095, 0.7769, 0.4442)  5 Tl 3.45-3.53
Ac (0.2231, 0.5558, 0.8905)  5 Tl 3.45-3.53
Ac (0.3356, 0.3356, 0.3356)  6 Tl 3.54-3.57
Ac (0.4442, 0.1095, 0.7769)  5 Tl 3.45-3.53
Ac (0.5558, 0.8905, 0.2231)  5 Tl 3.45-3.53
Ac (0.6644, 0.6644, 0.6644)  6 Tl 3.54-3.57
Ac (0.7769, 0.4442, 0.1095)  5 Tl 3.45-3.53
Ac (0.8905, 0.2231, 0.5558)  5 Tl 3.45-3.53
Tl (0.0581, 0.3897, 0.7273)  7 Ac 3.45-3.57, 1 Sr 3.53
Tl (0.2727, 0.9419, 0.6103)  7 Ac 3.45-3.57, 1 Sr 3.53
Tl (0.3897, 0.7273, 0.0581)  7 Ac 3.45-3.57, 1 Sr 3.53
Tl (0.6103, 0.2727, 0.9419)  7 Ac 3.45-3.57, 1 Sr 3.53
Tl (0.7273, 0.0581, 0.3897)  7 Ac 3.45-3.57, 1 Sr 3.53
Tl (0.9419, 0.6103, 0.2727)  7 Ac 3.45-3.57, 1 Sr 3.53

## Properties
* ΔH_f (0 K): -0.188 eV per atom
* uncorrected energy: -51.56 eV for the cell shown

=====

# 4
Material: SrNdP2
Method: DFT, GGA-PBE
State: optimized geometry

a b c (Å): 4.2363 4.2363 21.3079
angles (deg): 90.00 90.00 120.00
Closest atoms and distances in Å follow each position.
Positions (direct):
Sr (0.0000, 0.0000, 0.0000)  6 P 3.11
Sr (0.3333, 0.6667, 0.6667)  6 P 3.11
Sr (0.6667, 0.3333, 0.3333)  6 P 3.11
Nd (0.0000, 0.0000, 0.5000)  6 P 2.94
Nd (0.3333, 0.6667, 0.1667)  6 P 2.94
Nd (0.6667, 0.3333, 0.8333)  6 P 2.94
P (0.0000, 0.0000, 0.2434)  3 Nd 2.94, 3 Sr 3.11
P (0.0000, 0.0000, 0.7566)  3 Nd 2.94, 3 Sr 3.11
P (0.3333, 0.6667, 0.4233)  3 Nd 2.94, 3 Sr 3.11
P (0.3333, 0.6667, 0.9100)  3 Nd 2.94, 3 Sr 3.11
P (0.6667, 0.3333, 0.0900)  3 Nd 2.94, 3 Sr 3.11
P (0.6667, 0.3333, 0.5767)  3 Nd 2.94, 3 Sr 3.11

## Properties
* ΔH_f (0 K): -1.123 eV per atom
* uncorrected energy: -65.28 eV for the cell shown
* relative energy among the computed polymorphs: 0.000 eV/f.u.

=====

# 5
Material: LiAgRu2
Method: DFT, GGA-PBE
State: optimized geometry

a b c (Å): 3.0403 3.0403 6.1285
angles (deg): 90.00 90.00 90.00
Closest atoms and distances in Å follow each position.
Positions (direct):
Li (0.0000, 0.0000, 0.0000)  8 Ru 2.46
Ag (0.0000, 0.0000, 0.5000)  8 Ru 2.85, 4 Ag 3.04, 2 Li 3.06
Ru (0.5000, 0.5000, 0.1952)  1 Ru 2.39, 4 Li 2.46
Ru (0.5000, 0.5000, 0.8048)  1 Ru 2.39, 4 Li 2.46

## Properties
* ΔH_f (0 K): 0.596 eV per atom
* uncorrected energy: -20.93 eV for the cell shown
* relative energy among the computed polymorphs: 1.685 eV/f.u.

=====

# 6
Material: LaSc5Ir4
Method: DFT, GGA-PBE
State: optimized geometry

a b c (Å): 3.2406 3.2406 18.4471
angles (deg): 90.00 90.00 90.00
Closest atoms and distances in Å follow each position.
Positions (direct):
La (0.0000, 0.0000, 0.0000)  4 La 3.24, 8 Sc 3.61
Sc (0.5000, 0.5000, 0.1510)  4 Ir 2.75
Sc (0.5000, 0.5000, 0.3242)  8 Ir 2.80-2.83
Sc (0.5000, 0.5000, 0.5000)  8 Ir 2.81
Sc (0.5000, 0.5000, 0.6758)  8 Ir 2.80-2.83
Sc (0.5000, 0.5000, 0.8490)  4 Ir 2.75
Ir (0.0000, 0.0000, 0.2339)  8 Sc 2.75-2.83
Ir (0.0000, 0.0000, 0.4118)  8 Sc 2.80-2.81
Ir (0.0000, 0.0000, 0.5882)  8 Sc 2.80-2.81
Ir (0.0000, 0.0000, 0.7661)  8 Sc 2.75-2.83

## Properties
* ΔH_f (0 K): -0.816 eV per atom
* uncorrected energy: -80.19 eV for the cell shown

=====

Number 1: DOS(E_F) 0.5801 states/eV/atom, calculated density 9.7 g/cm³. Number 2: DOS(E_F) 1.9809 states/eV/atom, calculated density 3.7 g/cm³. Number 3: DOS(E_F) 1.4242 states/eV/atom, calculated density 8.6 g/cm³. Number 4: DOS(E_F) 1.0197 states/eV/atom, calculated density 4.4 g/cm³. Number 5: DOS(E_F) 1.1052 states/eV/atom, calculated density 9.3 g/cm³. Number 6: DOS(E_F) 0.6042 states/eV/atom, calculated density 9.7 g/cm³.